The following is a DFT calculation (PBE-GGA) of crystalline Li4CrCo at its relaxed geometry. Values from VASP.

Results
The symmetry is No. 216. The density of states at the Fermi level is 5.85 states/eV/f.u. The uncorrected energy comes out at -3.544 eV per atom.

Quantum ESPRESSO input file:
```
&SYSTEM
  ibrav = 0, nat = 6, ntyp = 3
/
ATOMIC_SPECIES
Li 6.94 Li.upf
Cr 52.00 Cr.upf
Co 58.93 Co.upf
CELL_PARAMETERS angstrom
0.000 3.468 3.468
3.468 0.000 3.468
3.468 3.468 0.000
ATOMIC_POSITIONS angstrom
Li 0.860 0.860 0.860
Li 2.608 2.608 0.860
Li 2.608 0.860 2.608
Li 0.860 2.608 2.608
Cr 3.468 3.468 3.468
Co 5.202 5.202 5.202
```